Material: CrRe2Mo
Method: DFT, PBE
State: relaxed

a = 5.0912 Å, b = 5.1059 Å, c = 2.6670 Å
α = 79.82°, β = 80.24°, γ = 117.02°
Fractional coordinates of all 4 atoms:
1 Cr 0.0000 0.5000 0.5000
2 Mo 0.5000 0.5000 0.0000
3 Re 0.0000 0.0000 0.0000
4 Re 0.5000 0.0000 0.5000

Offset from the most stable computed form = 39 meV per atom
Energy of formation = 0.13 eV/atom

Material: CrReMo
Method: DFT, PBE
State: relaxed

a = 5.0697 Å, b = 5.0697 Å, c = 5.0697 Å
α = 144.96°, β = 144.96°, γ = 50.40°
Fractional coordinates of all 3 atoms:
1 Re 0.6621 0.6621 0.0000
2 Mo 0.3380 0.3380 0.0000
3 Cr 0.0001 0.0001 0.0000

Offset from the most stable computed form = 0 meV per atom
Energy of formation = 0.06 eV/atom

Material: Cr2ReMo
Method: DFT, PBE
State: relaxed

a = 2.7161 Å, b = 4.9470 Å, c = 4.9772 Å
α = 56.69°, β = 90.00°, γ = 90.00°
Fractional coordinates of all 4 atoms:
1 Cr 0.0000 0.0000 0.0000
2 Cr 0.5000 0.5000 0.0000
3 Mo 0.5000 0.5000 0.5000
4 Re 0.0000 0.0000 0.5000

Energy of formation = 0.33 eV/atom

Material: CrReMo2
Method: DFT, PBE
State: relaxed

a = 3.0806 Å, b = 3.0806 Å, c = 6.1764 Å
α = 90.00°, β = 90.00°, γ = 90.00°
Fractional coordinates of all 4 atoms:
1 Re 0.0000 0.0000 0.5078
2 Mo 0.0000 0.0000 0.9850
3 Mo 0.5000 0.5000 0.2536
4 Cr 0.5000 0.5000 0.7537

Offset from the most stable computed form = 12 meV per atom
Energy of formation = 0.06 eV/atom